Version i
! YSiP2O (GGA-PBE, relaxed); values from VASP
&SYSTEM
  ibrav = 0, nat = 5, ntyp = 4
/
ATOMIC_SPECIES
P 30.97 P.upf
Si 28.09 Si.upf
Y 88.91 Y.upf
O 16.00 O.upf
CELL_PARAMETERS angstrom
-3.908 2.594 1.554
-1.644 -3.954 2.466
1.728 0.976 2.716
ATOMIC_POSITIONS angstrom
P -0.822 -1.977 1.233
P -1.954 1.297 0.777
Si 0.000 0.000 0.000
Y -1.912 -0.192 3.368
O 0.864 0.488 1.358
! symmetry = P4/mmm
! density of states at the Fermi level = 2.13 states/eV/cell

Version ii
! YSiP2O (GGA-PBE, relaxed); values from VASP
&SYSTEM
  ibrav = 0, nat = 5, ntyp = 4
/
ATOMIC_SPECIES
O 16.00 O.upf
P 30.97 P.upf
Si 28.09 Si.upf
Y 88.91 Y.upf
CELL_PARAMETERS angstrom
5.383 0.000 0.000
0.000 5.383 0.000
0.000 0.000 4.128
ATOMIC_POSITIONS angstrom
O 0.000 0.000 2.064
P 2.691 0.000 0.000
P 0.000 2.691 0.000
Si 2.691 2.691 2.064
Y 0.000 0.000 0.000
! symmetry = P4/mmm
! density of states at the Fermi level = 6.03 states/eV/cell

Stability ranking, top entry: version i; the second entry is 1.064 eV/atom less favorable.

Version i
! ZnSiPO2 (GGA-PBE, relaxed); values from VASP
&SYSTEM
  ibrav = 0, nat = 5, ntyp = 4
/
ATOMIC_SPECIES
O 16.00 O.upf
Si 28.09 Si.upf
P 30.97 P.upf
Zn 65.41 Zn.upf
CELL_PARAMETERS angstrom
-2.143 -0.300 -2.654
1.832 -2.642 -1.181
-3.009 -3.342 2.808
ATOMIC_POSITIONS angstrom
O 0.916 -1.321 -0.590
O -1.072 -0.150 -1.327
Si 0.000 0.000 0.000
P -1.505 -1.671 1.404
Zn -1.660 -3.142 -0.514
! symmetry = P4/mmm
! density of states at the Fermi level = 2.72 states/eV/cell

Version ii
! ZnSiPO2 (GGA-PBE, relaxed); values from VASP
&SYSTEM
  ibrav = 0, nat = 5, ntyp = 4
/
ATOMIC_SPECIES
P 30.97 P.upf
O 16.00 O.upf
Zn 65.41 Zn.upf
Si 28.09 Si.upf
CELL_PARAMETERS angstrom
3.734 0.000 0.000
0.000 3.734 0.000
0.000 0.000 4.980
ATOMIC_POSITIONS angstrom
P 0.000 0.000 2.490
O 1.867 0.000 0.000
O 0.000 1.867 0.000
Zn 0.000 0.000 0.000
Si 1.867 1.867 2.490
! symmetry = P4/mmm
! density of states at the Fermi level = 2.45 states/eV/cell

Stability ranking, top entry: version i; the second entry is 1.199 eV/atom less favorable.

Version i
! ZrSiP2O (GGA-PBE, relaxed); values from VASP
&SYSTEM
  ibrav = 0, nat = 5, ntyp = 4
/
ATOMIC_SPECIES
Si 28.09 Si.upf
P 30.97 P.upf
Zr 91.22 Zr.upf
O 16.00 O.upf
CELL_PARAMETERS angstrom
-3.549 1.455 3.448
3.365 -0.841 3.817
1.261 3.752 -0.285
ATOMIC_POSITIONS angstrom
Si 0.538 2.183 3.490
P -1.774 0.727 1.724
P 1.682 -0.420 1.909
Zr 0.000 0.000 0.000
O 0.630 1.876 -0.143
! symmetry = P4/mmm
! density of states at the Fermi level = 4.29 states/eV/cell

Version ii
! ZrSiP2O (GGA-PBE, relaxed); values from VASP
&SYSTEM
  ibrav = 0, nat = 5, ntyp = 4
/
ATOMIC_SPECIES
O 16.00 O.upf
P 30.97 P.upf
Zr 91.22 Zr.upf
Si 28.09 Si.upf
CELL_PARAMETERS angstrom
-3.352 2.924 -1.819
1.049 -1.551 -4.426
-2.260 -2.400 0.306
ATOMIC_POSITIONS angstrom
O -1.130 -1.200 0.153
P 0.524 -0.776 -2.213
P -1.676 1.462 -0.909
Zr -2.281 -0.513 -2.970
Si 0.000 0.000 0.000
! symmetry = P4/mmm
! density of states at the Fermi level = 1.37 states/eV/cell

Stability ranking, top entry: version ii; the second entry is 0.466 eV/atom less favorable.

Version i
! Sm2PO (GGA-PBE, relaxed); values from VASP
&SYSTEM
  ibrav = 0, nat = 16, ntyp = 3
/
ATOMIC_SPECIES
Sm 150.36 Sm.upf
O 16.00 O.upf
P 30.97 P.upf
CELL_PARAMETERS angstrom
-6.256 -1.094 3.523
1.145 -6.982 -0.136
2.560 0.289 6.713
ATOMIC_POSITIONS angstrom
Sm -1.662 -6.357 5.966
Sm -3.828 -3.124 5.873
Sm -0.888 -1.430 4.134
Sm 1.278 -4.663 4.227
Sm 2.446 -1.495 6.088
Sm -1.873 -5.715 2.252
Sm -0.677 -2.072 7.849
Sm -4.996 -6.292 4.013
O -3.757 -5.448 5.746
O 1.206 -2.340 4.354
O -0.418 -6.185 3.960
O -2.133 -1.603 6.141
P -2.033 -4.586 8.354
P -4.057 -1.239 3.557
P -0.517 -3.201 1.746
P 1.506 -6.549 6.544
! symmetry = P2_1/c
! density of states at the Fermi level = 6.06 states/eV/cell

Version ii
! Sm2PO (GGA-PBE, relaxed); values from VASP
&SYSTEM
  ibrav = 0, nat = 4, ntyp = 3
/
ATOMIC_SPECIES
Sm 150.36 Sm.upf
O 16.00 O.upf
P 30.97 P.upf
CELL_PARAMETERS angstrom
-2.370 -0.921 -2.877
0.864 -2.919 -2.340
-3.520 -5.162 1.989
ATOMIC_POSITIONS angstrom
Sm -1.331 -2.347 -0.714
Sm -3.694 -6.654 -2.513
O -2.513 -4.501 -1.614
P 0.000 0.000 0.000
! symmetry = R-3m
! density of states at the Fermi level = 1.63 states/eV/cell

Stability ranking, top entry: version ii; the second entry is 0.026 eV/atom less favorable.

Version i
! SnP4O11 (GGA-PBE, relaxed); values from VASP
&SYSTEM
  ibrav = 0, nat = 64, ntyp = 3
/
ATOMIC_SPECIES
Sn 118.71 Sn.upf
P 30.97 P.upf
O 16.00 O.upf
CELL_PARAMETERS angstrom
-9.167 6.254 6.267
-2.679 -7.838 3.902
3.179 -6.131 10.768
ATOMIC_POSITIONS angstrom
Sn -0.884 -5.114 4.532
Sn -5.300 -2.315 8.237
Sn -7.783 -2.602 16.406
Sn -3.367 -5.401 12.700
P -2.678 -1.982 11.035
P -2.948 -7.109 7.145
P -0.076 -3.902 8.122
P 0.172 -11.918 12.161
P -4.981 -5.089 16.387
P -2.855 -9.154 13.552
P -5.989 -5.734 9.903
P -5.812 1.438 7.386
P -5.719 -0.607 13.793
P -3.179 0.196 3.773
P -8.839 4.202 8.776
P -5.488 -7.912 17.165
P -3.686 -2.627 4.551
P -8.591 -3.814 12.816
P -7.166 -1.617 11.410
P -1.501 -6.099 9.527
O -1.363 -9.353 14.031
O -2.921 -1.362 3.800
O -2.937 -3.042 12.045
O -2.616 -3.633 4.801
O -6.596 -1.729 10.038
O -2.306 -6.460 5.993
O -2.071 -5.986 10.899
O -1.165 -4.541 9.070
O -7.304 1.637 6.907
O -7.481 -2.249 7.129
O -4.131 -0.606 13.991
O -2.802 -6.390 8.544
O -3.234 -7.808 13.098
O -2.941 -10.179 12.327
O -5.746 -6.354 17.137
O 0.197 -10.699 11.311
O -4.059 -5.592 15.347
O -8.445 -3.572 14.258
O -0.222 -4.144 6.679
O -0.378 -6.991 9.169
O -5.865 -1.325 12.394
O -6.139 0.888 13.495
O -5.335 -5.803 11.237
O -8.289 -0.725 11.769
O -4.608 -2.124 5.591
O -7.502 -3.175 11.867
O -1.186 -5.467 13.809
O -3.333 -1.913 9.701
O 1.297 -4.331 8.778
O -3.066 0.626 5.290
O -5.601 -8.342 15.648
O -8.864 2.983 9.627
O -9.964 -3.385 12.160
O -5.727 2.463 8.611
O -0.545 -1.834 1.324
O -5.730 -4.674 8.893
O -3.714 -9.775 14.724
O -6.361 -1.256 14.945
O -4.536 -7.110 6.947
O -8.122 -5.882 19.613
O -4.953 2.060 6.214
O -2.528 -8.604 7.442
O -6.051 -4.083 16.136
O -5.433 0.092 7.839
! symmetry = P2_1/c
! density of states at the Fermi level = 0.00 states/eV/cell

Version ii
! SnP4O11 (GGA-PBE, relaxed); values from VASP
&SYSTEM
  ibrav = 0, nat = 64, ntyp = 3
/
ATOMIC_SPECIES
O 16.00 O.upf
Sn 118.71 Sn.upf
P 30.97 P.upf
CELL_PARAMETERS angstrom
10.075 -0.124 0.198
0.236 10.062 0.308
-3.663 -3.693 9.728
ATOMIC_POSITIONS angstrom
O 3.313 3.604 2.124
O 6.836 1.145 7.298
O 7.806 5.355 1.594
O -1.158 0.891 8.640
O 3.006 5.614 3.780
O 5.594 -1.081 9.670
O 5.625 3.973 5.566
O -0.941 1.660 6.186
O -1.793 3.237 7.846
O 6.800 2.165 0.694
O 5.325 4.798 3.110
O -1.993 5.542 8.724
O 6.119 6.427 4.848
O 7.588 4.585 4.048
O 1.023 2.273 4.668
O 3.334 2.642 8.110
O 4.605 0.165 3.087
O 2.905 -1.927 7.898
O -0.153 4.081 9.540
O 3.939 5.903 1.391
O 0.529 -0.181 5.386
O 0.868 -1.384 9.364
O 3.642 0.631 6.454
O 2.303 -0.570 3.703
O 5.779 7.630 0.870
O 0.847 7.639 4.579
O 2.665 0.403 1.337
O 5.801 -1.394 5.655
O 1.053 7.326 0.564
O 4.344 6.815 6.530
O 1.322 1.447 7.124
O -0.189 5.100 2.936
O 7.760 0.312 3.912
O 3.742 8.173 2.336
O 2.708 0.343 8.843
O 8.440 3.009 2.388
O 6.677 6.591 7.341
O -1.540 -2.195 7.762
O 8.188 8.441 2.472
O -1.113 5.933 6.322
O 3.982 5.843 8.897
O 8.640 0.704 1.510
O 2.042 6.081 7.147
O -0.030 -0.346 2.893
Sn 2.282 2.559 0.164
Sn 0.975 5.366 5.039
Sn 5.673 0.880 5.195
Sn 4.365 3.687 10.070
P -1.741 4.065 9.192
P -1.779 6.582 7.481
P -1.861 1.617 7.539
P 8.426 -0.336 2.753
P 4.343 7.395 1.118
P 8.389 2.181 1.042
P 5.818 7.228 6.199
P 0.548 1.400 5.747
P 6.099 4.845 4.487
P 8.509 4.628 2.695
P 2.908 1.336 7.548
P 0.830 -0.983 4.035
P 3.341 -0.299 2.461
P 2.304 -1.149 9.116
P 3.306 6.545 7.773
P 3.739 4.910 2.686
! symmetry = P-1
! density of states at the Fermi level = 0.00 states/eV/cell

Stability ranking, top entry: version i; the second entry is 0.007 eV/atom less favorable.

Version i
! Sn2P3O10 (GGA-PBE, relaxed); values from VASP
&SYSTEM
  ibrav = 0, nat = 30, ntyp = 3
/
ATOMIC_SPECIES
P 30.97 P.upf
O 16.00 O.upf
Sn 118.71 Sn.upf
CELL_PARAMETERS angstrom
5.263 5.638 0.163
-5.263 5.638 0.163
0.000 5.354 9.323
ATOMIC_POSITIONS angstrom
P 2.960 4.678 1.683
P 4.644 6.976 2.494
P -4.644 9.654 7.156
P -2.960 11.952 7.967
P 2.960 9.275 3.305
P -2.960 7.356 6.344
O -3.678 10.475 8.116
O 1.243 12.061 7.090
O 1.690 4.881 2.567
O 3.678 7.798 3.455
O 2.440 4.310 0.297
O 1.243 7.247 7.222
O -1.690 7.558 7.229
O 0.206 11.692 3.536
O 3.678 6.155 1.534
O -1.243 4.569 2.560
O -3.678 8.832 6.195
O -0.206 4.938 6.114
O -2.440 6.987 4.958
O -1.690 11.749 7.083
O -1.243 9.383 2.428
O 0.206 2.260 1.452
O -0.206 14.370 8.198
O 1.690 9.072 2.421
O -2.440 12.320 9.353
O 2.440 9.643 4.692
Sn -0.271 7.024 5.698
Sn 0.271 4.347 1.036
Sn 0.271 9.606 3.952
Sn -0.271 12.283 8.614
! symmetry = C2/c
! density of states at the Fermi level = 7.94 states/eV/cell

Version ii
! Sn2P3O10 (GGA-PBE, relaxed); values from VASP
&SYSTEM
  ibrav = 0, nat = 30, ntyp = 3
/
ATOMIC_SPECIES
O 16.00 O.upf
P 30.97 P.upf
Sn 118.71 Sn.upf
CELL_PARAMETERS angstrom
-8.919 -1.982 -2.458
1.589 -1.257 -4.753
1.819 -9.197 0.815
ATOMIC_POSITIONS angstrom
O -1.027 -3.299 -2.717
O -6.422 -4.558 -5.297
O -2.975 -2.438 -1.303
O -3.993 -4.018 -4.628
O -6.307 -7.449 -3.362
O -1.623 -5.525 -3.699
O -0.546 -1.898 -0.634
O -4.569 -6.980 -5.110
O 0.795 -4.987 -3.033
O -2.536 -9.998 -5.092
O -5.804 -2.271 -4.423
O -0.943 -5.457 -1.285
O 0.911 -7.879 -1.098
O -3.888 -6.912 -2.696
O -4.966 -10.538 -5.762
O 0.313 -8.282 -3.563
O 0.293 -10.165 -1.972
O -4.484 -9.137 -3.678
O -5.824 -4.155 -2.832
O -1.519 -8.418 -1.767
P -5.484 -3.851 -4.312
P -3.961 -10.273 -4.659
P -0.028 -8.586 -2.083
P -1.550 -2.163 -1.737
P -4.831 -7.555 -3.692
P -0.680 -4.881 -2.703
Sn -2.703 -5.412 -5.573
Sn 0.900 -6.200 0.199
Sn -6.411 -6.236 -6.594
Sn -2.808 -7.024 -0.822
! symmetry = P2_1/m
! density of states at the Fermi level = 3.34 states/eV/cell

Stability ranking, top entry: version ii; the second entry is 0.057 eV/atom less favorable.